# K3LiCr2O8 (PBE with a Hubbard U, optimized geometry)
data_K3LiCr2O8
_symmetry_space_group_name_H-M 'P -3 m 1'
_symmetry_Int_Tables_number 164
_symmetry_space_group_name_Hall '-P 3 2"'
_cell_length_a 5.7879
_cell_length_b 5.7879
_cell_length_c 7.5215
_cell_angle_alpha 90.00
_cell_angle_beta 90.00
_cell_angle_gamma 120.00
loop_
_atom_site_label
_atom_site_fract_x
_atom_site_fract_y
_atom_site_fract_z
K1 0.0000 0.0000 0.0000
K2 0.3333 0.6667 0.6684
Li1 0.0000 0.0000 0.5000
Cr1 0.3333 0.6667 0.2386
O1 0.1768 0.3535 0.3166
O2 0.3333 0.6667 0.0196
# VASP energy: -5.96 eV/atom